# PBE-GGA K2ZrBr, relaxed
# ΔE_f (raw): 1.788 eV/f.u.
# DFT total energy: -21.26 eV per cell
# distance to the lowest polymorph of the same formula: 0.578 eV/atom
data_K2ZrBr
_cell_length_a 5.182
_cell_length_b 5.182
_cell_length_c 11.360
_cell_angle_alpha 90.00
_cell_angle_beta 90.00
_cell_angle_gamma 90.00
_space_group_name_H-M_alt 'I 4/m m m'
_space_group_IT_number 139
_space_group_name_Hall '-I 4 2'
loop_
_atom_site_label
_atom_site_type_symbol
_atom_site_fract_x
_atom_site_fract_y
_atom_site_fract_z
K1 K 0.000 0.500 0.250
Zr1 Zr 0.000 0.000 0.000
Br1 Br 0.000 0.000 0.500